# LiScGe

A relaxed LiScGe crystal (PBE, the Alexandria database).

Output
As for the calculated formation energy: -41.56 kJ/mol of atoms.

Cell: 7.4610 7.4610 7.4610 Å, 33.92 33.92 33.92°
Last column: nearest neighbours and their distance in Å.
Fractional positions:
1 Sc 0.0330 0.0330 0.0330  4 Ge 2.73-2.80
2 Sc 0.1865 0.1865 0.1865  3 Ge 2.73, 3 Li 2.89
3 Ge 0.7585 0.7585 0.7585  3 Li 2.58, 3 Sc 2.80
4 Li 0.6092 0.6092 0.6092  3 Ge 2.65
5 Ge 0.9033 0.9033 0.9033  3 Li 2.65, 4 Sc 2.73
6 Li 0.4518 0.4518 0.4518  3 Ge 2.58